[1]
# GGA-PBEsol PtW4Se, optimized geometry
# - uncorrected formation energy (kJ/mol of atoms) = 77
# - D(E_F) (states/eV/cell) = 17.38
data_PtW4Se
_chemical_formula_sum 'Pt4 W16 Se4'
_cell_length_a 7.407
_cell_length_b 7.407
_cell_length_c 7.407
_cell_angle_alpha 90.00
_cell_angle_beta 90.00
_cell_angle_gamma 90.00
_space_group_name_H-M_alt 'F -4 3 m'
_space_group_IT_number 216
_space_group_name_Hall 'F -4 2 3'
loop_
_atom_site_label
_atom_site_type_symbol
_atom_site_fract_x
_atom_site_fract_y
_atom_site_fract_z
Pt1 Pt 0.000 0.000 0.000
W1 W 0.125 0.125 0.375
Se1 Se 0.250 0.250 0.750

=====

[2]
# GGA-PBEsol SrBiTe2Pd, optimized geometry
# - uncorrected formation energy (kJ/mol of atoms) = -42
# - D(E_F) (states/eV/cell) = 3.24
data_SrBiTe2Pd
_chemical_formula_sum 'Sr1 Bi1 Te2 Pd1'
_cell_length_a 5.453
_cell_length_b 5.453
_cell_length_c 5.158
_cell_angle_alpha 90.00
_cell_angle_beta 90.00
_cell_angle_gamma 90.00
_space_group_name_H-M_alt 'P 4/m m m'
_space_group_IT_number 123
_space_group_name_Hall '-P 4 2'
loop_
_atom_site_label
_atom_site_type_symbol
_atom_site_fract_x
_atom_site_fract_y
_atom_site_fract_z
Sr1 Sr 0.000 0.000 0.000
Bi1 Bi 0.500 0.500 0.000
Te1 Te 0.000 0.500 0.500
Pd1 Pd 0.500 0.500 0.500

=====

[3]
# GGA-PBEsol Y5Co19P12, optimized geometry
# - D(E_F) (states/eV/cell) = 20.52
# - E_form (kJ per mole of atoms) = -95.0
data_Y5Co19P12
_chemical_formula_sum 'Y5 Co19 P12'
_cell_length_a 11.8433
_cell_length_b 11.8433
_cell_length_c 3.6217
_cell_angle_alpha 90.00
_cell_angle_beta 90.00
_cell_angle_gamma 120.00
_space_group_name_H-M_alt 'P -6 2 m'
_space_group_IT_number 189
_space_group_name_Hall 'P -6 -2'
loop_
_atom_site_label
_atom_site_type_symbol
_atom_site_fract_x
_atom_site_fract_y
_atom_site_fract_z
Y1 Y 0.0000 0.1873 0.0000
Y2 Y 0.3333 0.6667 0.5000
Co1 Co 0.0000 0.0000 0.5000
Co2 Co 0.0000 0.5535 0.5000
Co3 Co 0.0000 0.7149 0.0000
Co4 Co 0.1250 0.4836 0.0000
Co5 Co 0.1783 0.8004 0.5000
P1 P 0.0000 0.3690 0.5000
P2 P 0.0000 0.8189 0.5000
P3 P 0.1653 0.6855 0.0000